! Cr2Co2Ni (PBE-GGA, relaxed); values from VASP
! E in eV for the cell shown: -36.73
! Space-group type: Cmmm, No. 65
&SYSTEM
  ibrav = 0, nat = 5, ntyp = 3
/
ATOMIC_SPECIES
Cr 52.00 Cr.upf
Co 58.93 Co.upf
Ni 58.69 Ni.upf
CELL_PARAMETERS angstrom
2.095 -3.211 0.000
2.095 3.211 0.000
0.000 0.000 4.603
ATOMIC_POSITIONS angstrom
Cr 0.000 0.000 1.115
Cr 0.000 0.000 3.488
Co 2.095 1.109 0.000
Co 2.095 -1.109 0.000
Ni 2.095 0.000 2.301